Crystalline AlFeW4 at its relaxed geometry, computed with PBE-GGA.

## Properties
E_form   0.5843 eV per atom
DOS at the Fermi energy   4.876 states/eV/cell

a = 5.242 Å, b = 5.242 Å, c = 5.242 Å
α = 60.00°, β = 60.00°, γ = 60.00°
Site moments in Bohr magnetons follow the coordinates.
Fractional coordinates of all 6 atoms:
Al (0.750, 0.750, 0.750)  0.01
W (0.375, 0.375, 0.375)  0.02
W (0.375, 0.875, 0.375)  0.02
W (0.375, 0.375, 0.875)  0.02
W (0.875, 0.375, 0.375)  0.02
Fe (0.000, 0.000, 0.000)  2.79

Crystalline AlFe3W at its relaxed geometry, computed with PBE-GGA.

## Properties
E_form   1.2820 eV per atom
DOS at the Fermi energy   5.180 states/eV/cell
Distance to the lowest polymorph of the same formula   0 meV per atom

a = 4.093 Å, b = 4.093 Å, c = 4.093 Å
α = 90.00°, β = 90.00°, γ = 90.00°
Site moments in Bohr magnetons follow the coordinates.
Fractional coordinates of all 5 atoms:
Al (0.000, 0.000, 0.000)  -0.03
W (0.500, 0.500, 0.500)  -0.56
Fe (0.000, 0.000, 0.500)  0.93
Fe (0.500, 0.000, 0.000)  0.58
Fe (0.000, 0.500, 0.000)  0.73

Crystalline Al5Fe6W at its relaxed geometry, computed with PBE-GGA.

## Properties
E_form   -0.3360 eV per atom
DOS at the Fermi energy   11.165 states/eV/cell

a = 4.086 Å, b = 5.772 Å, c = 6.442 Å
α = 90.00°, β = 71.51°, γ = 90.00°
Site moments in Bohr magnetons follow the coordinates.
Fractional coordinates of all 12 atoms:
Al (0.000, 0.500, 0.000)  -0.01
Al (0.666, 0.500, 0.668)  -0.01
Al (0.334, 0.500, 0.332)  -0.01
Al (0.668, 0.000, 0.665)  -0.01
Al (0.332, 0.000, 0.335)  -0.01
Fe (0.167, 0.251, 0.666)  0.40
Fe (0.833, 0.251, 0.334)  0.40
Fe (0.500, 0.251, 0.000)  0.10
Fe (0.167, 0.749, 0.666)  0.40
Fe (0.500, 0.749, 0.000)  0.10
Fe (0.833, 0.749, 0.334)  0.40
W (0.000, 0.000, 0.000)  -0.09

Crystalline AlFeW3 at its relaxed geometry, computed with PBE-GGA.

## Properties
E_form   2.1706 eV per atom
DOS at the Fermi energy   6.326 states/eV/cell
Distance to the lowest polymorph of the same formula   938 meV per atom

a = 4.469 Å, b = 4.469 Å, c = 4.469 Å
α = 90.00°, β = 90.00°, γ = 90.00°
Fractional coordinates of all 5 atoms:
W (0.000, 0.500, 0.000)
W (0.000, 0.000, 0.500)
W (0.500, 0.000, 0.000)
Fe (0.500, 0.500, 0.500)
Al (0.000, 0.000, 0.000)

Crystalline Al5Fe4W at its relaxed geometry, computed with PBE-GGA.

## Properties
E_form   -0.2506 eV per atom
DOS at the Fermi energy   10.297 states/eV/cell

a = 2.858 Å, b = 2.858 Å, c = 15.309 Å
α = 90.00°, β = 90.00°, γ = 90.00°
Site moments in Bohr magnetons follow the coordinates.
Fractional coordinates of all 10 atoms:
Al (0.500, 0.500, 0.310)  -0.02
Al (0.500, 0.500, 0.872)  -0.01
Al (0.500, 0.500, 0.500)  -0.03
Al (0.500, 0.500, 0.128)  -0.01
Al (0.500, 0.500, 0.690)  -0.02
Fe (0.000, 0.000, 0.783)  0.39
Fe (0.000, 0.000, 0.406)  0.85
Fe (0.000, 0.000, 0.217)  0.39
Fe (0.000, 0.000, 0.594)  0.85
W (0.000, 0.000, 0.000)  -0.04

Crystalline Zr2Al2Fe5W at its relaxed geometry, computed with PBE-GGA.

## Properties
E_form   -0.1004 eV per atom
DOS at the Fermi energy   12.518 states/eV/cell

a = 3.159 Å, b = 9.440 Å, c = 9.440 Å
α = 90.00°, β = 90.00°, γ = 90.00°
Site moments in Bohr magnetons follow the coordinates.
Fractional coordinates of all 20 atoms:
Fe (0.500, 0.438, 0.301)  0.21
Fe (0.500, 0.938, 0.199)  0.21
Fe (0.500, 0.699, 0.438)  0.21
Fe (0.500, 0.000, 0.500)  0.23
Fe (0.500, 0.062, 0.801)  0.21
Fe (0.500, 0.199, 0.062)  0.21
Fe (0.500, 0.500, 0.000)  0.23
Fe (0.500, 0.301, 0.562)  0.21
Fe (0.500, 0.562, 0.699)  0.21
Fe (0.500, 0.801, 0.938)  0.21
Zr (0.000, 0.828, 0.672)  -0.08
Zr (0.000, 0.172, 0.328)  -0.08
Zr (0.000, 0.672, 0.172)  -0.08
Zr (0.000, 0.328, 0.828)  -0.08
Al (0.000, 0.626, 0.874)  -0.01
Al (0.000, 0.126, 0.626)  -0.01
Al (0.000, 0.874, 0.374)  -0.01
Al (0.000, 0.374, 0.126)  -0.01
W (0.000, 0.500, 0.500)  -0.09
W (0.000, 0.000, 0.000)  -0.09

Crystalline Y2Al8Fe at its relaxed geometry, computed with PBE-GGA.

## Properties
E_form   -0.4047 eV per atom
DOS at the Fermi energy   4.698 states/eV/cell

a = 4.215 Å, b = 4.215 Å, c = 11.247 Å
α = 90.00°, β = 90.00°, γ = 90.00°
Fractional coordinates of all 11 atoms:
Y (0.000, 0.000, 0.306)
Y (0.000, 0.000, 0.694)
Al (0.500, 0.500, 0.308)
Al (0.500, 0.000, 0.114)
Al (0.500, 0.000, 0.886)
Al (0.000, 0.500, 0.500)
Al (0.000, 0.500, 0.886)
Al (0.500, 0.500, 0.692)
Al (0.500, 0.000, 0.500)
Al (0.000, 0.500, 0.114)
Fe (0.000, 0.000, 0.000)

Crystalline Y2AlFe at its relaxed geometry, computed with PBE-GGA.

## Properties
E_form   -0.1280 eV per atom
DOS at the Fermi energy   5.755 states/eV/cell

a = 3.507 Å, b = 3.524 Å, c = 7.921 Å
α = 63.62°, β = 90.00°, γ = 90.00°
Site moments in Bohr magnetons follow the coordinates.
Fractional coordinates of all 4 atoms:
Y (0.000, 0.481, 0.519)  -0.22
Y (0.000, 0.019, 0.981)  -0.22
Al (0.500, 0.250, 0.250)  0.00
Fe (0.500, 0.750, 0.750)  2.06

Crystalline Y2AlFe at its relaxed geometry, computed with PBE-GGA.

## Properties
E_form   -0.0779 eV per atom
DOS at the Fermi energy   4.925 states/eV/cell

a = 5.975 Å, b = 5.975 Å, c = 5.975 Å
α = 146.43°, β = 131.45°, γ = 60.32°
Site moments in Bohr magnetons follow the coordinates.
Fractional coordinates of all 4 atoms:
Al (0.451, 0.451, 0.000)  0.00
Y (0.033, 0.033, 0.000)  -0.09
Y (0.739, 0.239, 0.500)  -0.20
Fe (0.277, 0.777, 0.500)  2.08

Crystalline YAl2Fe9 at its relaxed geometry, computed with PBE-GGA.

## Properties
E_form   -0.1494 eV per atom
DOS at the Fermi energy   28.050 states/eV/cell

a = 4.635 Å, b = 8.057 Å, c = 8.057 Å
α = 90.00°, β = 90.00°, γ = 90.00°
Site moments in Bohr magnetons follow the coordinates.
Fractional coordinates of all 24 atoms:
Al (0.000, 0.880, 0.620)  -0.01
Al (0.000, 0.120, 0.380)  -0.01
Al (0.000, 0.620, 0.120)  -0.01
Al (0.000, 0.380, 0.880)  -0.01
Fe (0.500, 0.788, 0.067)  1.48
Fe (0.231, 0.176, 0.676)  -0.35
Fe (0.500, 0.933, 0.788)  1.48
Fe (0.769, 0.824, 0.324)  -0.35
Fe (0.231, 0.824, 0.324)  -0.35
Fe (0.231, 0.676, 0.824)  -0.35
Fe (0.500, 0.000, 0.500)  1.37
Fe (0.500, 0.567, 0.288)  1.48
Fe (0.500, 0.067, 0.212)  1.48
Fe (0.500, 0.433, 0.712)  1.48
Fe (0.769, 0.176, 0.676)  -0.35
Fe (0.500, 0.712, 0.567)  1.48
Fe (0.769, 0.676, 0.824)  -0.35
Fe (0.500, 0.288, 0.433)  1.48
Fe (0.500, 0.500, 0.000)  1.37
Fe (0.500, 0.212, 0.933)  1.48
Fe (0.231, 0.324, 0.176)  -0.35
Fe (0.769, 0.324, 0.176)  -0.35
Y (0.000, 0.000, 0.000)  -0.09
Y (0.000, 0.500, 0.500)  -0.09

Crystalline Y2Al5Fe5 at its relaxed geometry, computed with PBE-GGA.

## Properties
E_form   -0.3035 eV per atom
DOS at the Fermi energy   9.821 states/eV/cell

a = 4.067 Å, b = 5.146 Å, c = 9.124 Å
α = 90.00°, β = 90.00°, γ = 90.00°
Site moments in Bohr magnetons follow the coordinates.
Fractional coordinates of all 12 atoms:
Al (0.000, 0.500, 0.669)  -0.04
Al (0.000, 0.500, 0.331)  -0.04
Al (0.000, 0.000, 0.186)  -0.04
Al (0.000, 0.000, 0.814)  -0.04
Al (0.500, 0.000, 0.000)  -0.03
Y (0.000, 0.500, 0.000)  -0.18
Y (0.000, 0.000, 0.500)  -0.23
Fe (0.500, 0.500, 0.500)  2.17
Fe (0.500, 0.743, 0.747)  1.82
Fe (0.500, 0.743, 0.253)  1.82
Fe (0.500, 0.257, 0.253)  1.82
Fe (0.500, 0.257, 0.747)  1.82

Crystalline YAlFe2 at its relaxed geometry, computed with PBE-GGA.

## Properties
E_form   0.0019 eV per atom
DOS at the Fermi energy   2.512 states/eV/cell

a = 3.912 Å, b = 3.352 Å, c = 5.470 Å
α = 72.12°, β = 90.00°, γ = 90.00°
Site moments in Bohr magnetons follow the coordinates.
Fractional coordinates of all 4 atoms:
Fe (0.500, 0.078, 0.215)  1.83
Fe (0.000, 0.200, 0.983)  1.92
Y (0.000, 0.456, 0.459)  -0.13
Al (0.500, 0.766, 0.843)  -0.04